(1)
ScPtN2F: optimized geometry, GGA-PBE.

```
5
Lattice="3.9463 0.0000 0.0000 0.0000 3.9463 0.0000 0.0000 0.0000 4.2052" Properties=species:S:1:pos:R:3 pbc="T T T"
Sc 0.0000 0.0000 0.0000
Pt 1.9731 1.9731 2.1026
N 0.0000 1.9731 2.1026
N 1.9731 0.0000 2.1026
F 1.9731 1.9731 0.0000
```

Calculated values
uncorrected formation energy: 0.14 eV per atom
VASP energy: -30.19 eV for the cell shown
mass density: 7.28 Mg/m³
total moment: 0.00 μB/atom
distance to the lowest polymorph of the same formula: 0 meV per atom
space-group type: P4/mmm (123)

***

(2)
PtSe2NF: optimized geometry, GGA-PBE.

```
5
Lattice="5.2720 0.0000 0.0000 0.0000 5.2720 0.0000 0.0000 0.0000 3.6281" Properties=species:S:1:pos:R:3 pbc="T T T"
Pt 0.0000 0.0000 0.0000
Se 0.0000 2.6360 0.0000
Se 2.6360 0.0000 0.0000
N 0.0000 0.0000 1.8141
F 2.6360 2.6360 1.8141
```

Calculated values
uncorrected formation energy: 0.64 eV per atom
VASP energy: -20.02 eV for the cell shown
mass density: 6.36 Mg/m³
total moment: 0.38 μB/atom
distance to the lowest polymorph of the same formula: 0 meV per atom
space-group type: P4/mmm (123)

***

(3)
PtSe2NF: optimized geometry, GGA-PBE.

```
5
Lattice="4.6277 0.0000 0.0000 0.0000 4.6277 0.0000 0.0000 0.0000 3.7527" Properties=species:S:1:pos:R:3 pbc="T T T"
Pt 0.0000 0.0000 0.0000
Se 0.0000 2.3139 1.8764
Se 2.3139 0.0000 1.8764
N 2.3139 2.3139 0.0000
F 2.3139 2.3139 1.8764
```

Calculated values
uncorrected formation energy: 1.43 eV per atom
VASP energy: -16.07 eV for the cell shown
mass density: 7.98 Mg/m³
total moment: 0.42 μB/atom
distance to the lowest polymorph of the same formula: 788 meV per atom
space-group type: P4/mmm (123)